(1)
First-principles (PBE) data for an optimized crystal structure of DyYZn2Pb2, as listed in OQMD.

Its symmetry is P6_3/mmc (194). Its energy relative to the lowest polymorph listed for this composition is 0.4 kJ per mole of atoms.

Unit cell a=4.5954 b=4.5954 c=16.0261 alpha=90.00 beta=90.00 gamma=120.00
Fractional positions:
Dy1 0.0000 0.0000 0.0000
Dy2 0.0000 0.0000 0.5000
Pb1 0.6667 0.3333 0.1097
Pb2 0.6667 0.3333 0.3903
Pb3 0.3333 0.6667 0.6097
Pb4 0.3333 0.6667 0.8903
Y1 0.0000 0.0000 0.2500
Y2 0.0000 0.0000 0.7500
Zn1 0.3333 0.6667 0.1653
Zn2 0.3333 0.6667 0.3347
Zn3 0.6667 0.3333 0.6653
Zn4 0.6667 0.3333 0.8347


(2)
First-principles (PBE) data for an optimized crystal structure of Nd2Dy2CI3Cl2, as listed in OQMD.

Its symmetry is C2/m (12). Its energy relative to the lowest polymorph listed for this composition is 0.0 kJ per mole of atoms.

Unit cell a=9.5068 b=9.5068 c=8.8150 alpha=100.57 beta=100.57 gamma=24.13
Fractional positions:
C1 0.5000 0.5000 0.0000
Cl1 0.1549 0.1549 0.2796
Cl2 0.8451 0.8451 0.7204
Dy1 0.6319 0.6319 0.0628
Dy2 0.3681 0.3681 0.9372
I1 0.8239 0.8239 0.1739
I2 0.5000 0.5000 0.5000
I3 0.1761 0.1761 0.8261
Nd1 0.9990 0.9990 0.1957
Nd2 0.0010 0.0010 0.8043


(3)
First-principles (PBE) data for an optimized crystal structure of NdBiNO, as listed in OQMD.

Its symmetry is Pca2_1 (29). Its energy relative to the lowest polymorph listed for this composition is 7.8 kJ per mole of atoms.

Unit cell a=7.1350 b=7.6347 c=5.7368 alpha=90.00 beta=90.00 gamma=90.00
Fractional positions:
Bi1 0.8763 0.3300 0.4956
Bi2 0.3763 0.6700 0.4956
Bi3 0.6237 0.3300 0.9956
Bi4 0.1237 0.6700 0.9956
N1 0.4122 0.1153 0.0582
N2 0.9122 0.8847 0.0582
N3 0.0878 0.1153 0.5582
N4 0.5878 0.8847 0.5582
Nd1 0.4088 0.1459 0.4796
Nd2 0.9088 0.8541 0.4796
Nd3 0.0912 0.1459 0.9796
Nd4 0.5912 0.8541 0.9796
O1 0.0378 0.4100 0.1690
O2 0.5378 0.5900 0.1690
O3 0.4622 0.4100 0.6690
O4 0.9622 0.5900 0.6690


Among the records above, which one has the lowest energy relative to the lowest polymorph listed for this composition?
Nd2Dy2CI3Cl2


Copy entry 1 word for word.
First-principles (PBE) data for an optimized crystal structure of DyYZn2Pb2, as listed in OQMD.

Its symmetry is P6_3/mmc (194). Its energy relative to the lowest polymorph listed for this composition is 0.4 kJ per mole of atoms.

Unit cell a=4.5954 b=4.5954 c=16.0261 alpha=90.00 beta=90.00 gamma=120.00
Fractional positions:
Dy1 0.0000 0.0000 0.0000
Dy2 0.0000 0.0000 0.5000
Pb1 0.6667 0.3333 0.1097
Pb2 0.6667 0.3333 0.3903
Pb3 0.3333 0.6667 0.6097
Pb4 0.3333 0.6667 0.8903
Y1 0.0000 0.0000 0.2500
Y2 0.0000 0.0000 0.7500
Zn1 0.3333 0.6667 0.1653
Zn2 0.3333 0.6667 0.3347
Zn3 0.6667 0.3333 0.6653
Zn4 0.6667 0.3333 0.8347


Which value of energy relative to the lowest polymorph listed for this composition does entry 1 give?
0.4 kJ per mole of atoms


What is the energy relative to the lowest polymorph listed for this composition in the third record?
7.8 kJ per mole of atoms